Entry 1:
! BeCoP2C (PBE, relaxed); values from VASP
&SYSTEM
  ibrav = 0, nat = 5, ntyp = 4
/
ATOMIC_SPECIES
Be 9.01 Be.upf
Co 58.93 Co.upf
P 30.97 P.upf
C 12.01 C.upf
CELL_PARAMETERS angstrom
4.1681 0.0000 0.0000
0.0000 4.1681 0.0000
0.0000 0.0000 3.9296
ATOMIC_POSITIONS crystal
Be 0.0000 0.0000 0.0000
Co 0.0000 0.0000 0.5000
P 0.0000 0.5000 0.5000
P 0.5000 0.0000 0.5000
C 0.5000 0.5000 0.0000
! Crystal system   tetragonal
! ΔE_f   1.447 eV per atom
! Mass density   3.45 g/cm3

---

Entry 2:
! VCrTc (PBE, relaxed); values from VASP
&SYSTEM
  ibrav = 0, nat = 6, ntyp = 3
/
ATOMIC_SPECIES
V 50.94 V.upf
Cr 52.00 Cr.upf
Tc 98.00 Tc.upf
CELL_PARAMETERS angstrom
2.7527 0.0000 0.0000
0.6946 4.6942 0.0000
0.3453 2.3446 6.2353
ATOMIC_POSITIONS crystal
V 0.0001 0.1730 0.1548
V 0.9999 0.8270 0.8452
Cr 0.5002 0.3339 0.8316
Cr 0.4998 0.6661 0.1684
Tc 0.2538 0.2480 0.5002
Tc 0.7462 0.7520 0.4998
! Distance to the lowest polymorph of the same formula   0.1864 eV/atom
! Crystal system   triclinic
! ΔE_f   0.048 eV per atom
! Mass density   8.28 g/cm3

---

Entry 3:
! CeGd2Al (PBE, relaxed); values from VASP
&SYSTEM
  ibrav = 0, nat = 4, ntyp = 3
/
ATOMIC_SPECIES
Ce 140.12 Ce.upf
Gd 157.25 Gd.upf
Al 26.98 Al.upf
CELL_PARAMETERS angstrom
4.8246 0.0000 0.0000
0.0000 4.8246 0.0000
0.0000 0.0000 4.6738
ATOMIC_POSITIONS crystal
Ce 0.0000 0.0000 0.0000
Gd 0.0000 0.5000 0.5000
Gd 0.5000 0.0000 0.5000
Al 0.5000 0.5000 0.0000
! Distance to the lowest polymorph of the same formula   0.0000 eV/atom
! Crystal system   tetragonal
! ΔE_f   -0.149 eV per atom
! Mass density   7.35 g/cm3

---

Entry 4:
! MnCrCo2 (PBE, relaxed); values from VASP
&SYSTEM
  ibrav = 0, nat = 8, ntyp = 3
/
ATOMIC_SPECIES
Mn 54.94 Mn.upf
Cr 52.00 Cr.upf
Co 58.93 Co.upf
CELL_PARAMETERS angstrom
4.9307 0.0000 0.0000
0.0000 7.0699 0.0000
0.0000 0.0000 2.4745
ATOMIC_POSITIONS crystal
Mn 0.0000 0.0000 0.0000
Mn 0.5000 0.5000 0.0000
Cr 0.0000 0.5000 0.0000
Cr 0.5000 0.0000 0.0000
Co 0.2500 0.2500 0.5000
Co 0.2500 0.7500 0.5000
Co 0.7500 0.2500 0.5000
Co 0.7500 0.7500 0.5000
! Crystal system   orthorhombic
! ΔE_f   0.040 eV per atom
! Mass density   8.65 g/cm3

---

Entry 5:
! Cs4Dy3HfSe8 (PBE, relaxed); values from VASP
&SYSTEM
  ibrav = 0, nat = 16, ntyp = 4
/
ATOMIC_SPECIES
Cs 132.91 Cs.upf
Dy 162.50 Dy.upf
Hf 178.49 Hf.upf
Se 78.96 Se.upf
CELL_PARAMETERS angstrom
4.1799 2.4133 8.3781
-4.1799 2.4133 8.3781
0.0000 -4.8266 8.3781
ATOMIC_POSITIONS crystal
Cs 0.0000 0.0000 0.0000
Cs 0.0000 0.5000 0.5000
Cs 0.5000 0.0000 0.5000
Cs 0.5000 0.5000 0.0000
Dy 0.0000 0.0000 0.5000
Dy 0.0000 0.5000 0.0000
Dy 0.5000 0.0000 0.0000
Hf 0.5000 0.5000 0.5000
Se 0.2293 0.2293 0.2293
Se 0.2435 0.7197 0.7197
Se 0.2803 0.2803 0.7565
Se 0.2803 0.7565 0.2803
Se 0.7197 0.2435 0.7197
Se 0.7197 0.7197 0.2435
Se 0.7565 0.2803 0.2803
Se 0.7707 0.7707 0.7707
! Crystal system   trigonal
! Total DFT energy (no corrections)   -80.44 eV per formula unit
! Mass density   5.99 g/cm3

---

Entry 6:
! Sc2BeCdF (PBE, relaxed); values from VASP
&SYSTEM
  ibrav = 0, nat = 5, ntyp = 4
/
ATOMIC_SPECIES
Sc 44.96 Sc.upf
Be 9.01 Be.upf
Cd 112.41 Cd.upf
F 19.00 F.upf
CELL_PARAMETERS angstrom
5.3844 0.0000 0.0000
0.0000 5.3844 0.0000
0.0000 0.0000 4.2861
ATOMIC_POSITIONS crystal
Sc 0.0000 0.5000 0.0000
Sc 0.5000 0.0000 0.0000
Be 0.0000 0.0000 0.5000
Cd 0.0000 0.0000 0.0000
F 0.5000 0.5000 0.5000
! Crystal system   tetragonal
! Total DFT energy (no corrections)   -17.99 eV per formula unit
! Mass density   3.08 g/cm3

---

Entry 7:
! CaTlZn (PBE, relaxed); values from VASP
&SYSTEM
  ibrav = 0, nat = 12, ntyp = 3
/
ATOMIC_SPECIES
Ca 40.08 Ca.upf
Tl 204.38 Tl.upf
Zn 65.41 Zn.upf
CELL_PARAMETERS angstrom
6.8838 0.0000 0.0000
0.0000 6.8838 0.0000
0.0000 0.0000 6.8838
ATOMIC_POSITIONS crystal
Ca 0.0000 0.0000 0.0000
Ca 0.0000 0.5000 0.5000
Ca 0.5000 0.0000 0.5000
Ca 0.5000 0.5000 0.0000
Tl 0.0000 0.0000 0.5000
Tl 0.0000 0.5000 0.0000
Tl 0.5000 0.0000 0.0000
Tl 0.5000 0.5000 0.5000
Zn 0.2500 0.2500 0.7500
Zn 0.2500 0.7500 0.2500
Zn 0.7500 0.2500 0.2500
Zn 0.7500 0.7500 0.7500
! Crystal system   cubic
! ΔE_f   -0.182 eV per atom
! Mass density   6.31 g/cm3

---

Entry 8:
! Cs2USBr5 (PBE, relaxed); values from VASP
&SYSTEM
  ibrav = 0, nat = 9, ntyp = 4
/
ATOMIC_SPECIES
Cs 132.91 Cs.upf
U 238.03 U.upf
S 32.06 S.upf
Br 79.90 Br.upf
CELL_PARAMETERS angstrom
-3.9776 3.9776 5.7061
3.9776 -3.9776 5.7061
3.9776 3.9776 -5.7061
ATOMIC_POSITIONS crystal
Cs 0.0000 0.5000 0.5000
Cs 0.5000 0.0000 0.5000
U 0.2599 0.2599 0.0000
S 0.4694 0.4694 0.0000
Br 0.0046 0.0046 0.5081
Br 0.0046 0.4965 0.0000
Br 0.0157 0.0157 0.0000
Br 0.4965 0.0046 0.0000
Br 0.4965 0.4965 0.4919
! Crystal system   tetragonal
! Total DFT energy (no corrections)   -39.18 eV per formula unit
! Mass density   4.30 g/cm3

---

Entry 9:
! Zr2TaTlN (PBE, relaxed); values from VASP
&SYSTEM
  ibrav = 0, nat = 5, ntyp = 4
/
ATOMIC_SPECIES
Zr 91.22 Zr.upf
Ta 180.95 Ta.upf
Tl 204.38 Tl.upf
N 14.01 N.upf
CELL_PARAMETERS angstrom
4.6901 0.0000 0.0000
0.0000 4.6901 0.0000
0.0000 0.0000 4.1088
ATOMIC_POSITIONS crystal
Zr 0.0000 0.5000 0.0000
Zr 0.5000 0.0000 0.0000
Ta 0.0000 0.0000 0.5000
Tl 0.5000 0.5000 0.5000
N 0.0000 0.0000 0.0000
! Crystal system   tetragonal
! Total DFT energy (no corrections)   -42.49 eV per formula unit
! Mass density   10.69 g/cm3

---

Entry 10:
! BeNbAg (PBE, relaxed); values from VASP
&SYSTEM
  ibrav = 0, nat = 6, ntyp = 3
/
ATOMIC_SPECIES
Be 9.01 Be.upf
Nb 92.91 Nb.upf
Ag 107.87 Ag.upf
CELL_PARAMETERS angstrom
3.8498 0.0000 0.0000
0.0000 3.8498 0.0000
0.0000 0.0000 6.1706
ATOMIC_POSITIONS crystal
Be 0.2500 0.7500 0.0000
Be 0.7500 0.2500 0.0000
Nb 0.2500 0.2500 0.3537
Nb 0.7500 0.7500 0.6463
Ag 0.2500 0.2500 0.7950
Ag 0.7500 0.7500 0.2050
! Distance to the lowest polymorph of the same formula   0.4166 eV/atom
! Crystal system   tetragonal
! ΔE_f   0.400 eV per atom
! Mass density   7.62 g/cm3

---

Entry 11:
! Nd3Sm2Pb4 (PBE, relaxed); values from VASP
&SYSTEM
  ibrav = 0, nat = 9, ntyp = 3
/
ATOMIC_SPECIES
Nd 144.24 Nd.upf
Sm 150.36 Sm.upf
Pb 207.20 Pb.upf
CELL_PARAMETERS angstrom
8.4891 -2.5438 0.0000
8.4891 2.5438 0.0000
-1.7221 0.0000 6.6923
ATOMIC_POSITIONS crystal
Nd 0.0000 0.0000 0.0000
Nd 0.1145 0.1145 0.5774
Nd 0.8855 0.8855 0.4226
Sm 0.3339 0.3339 0.9185
Sm 0.6661 0.6661 0.0815
Pb 0.2510 0.2510 0.3026
Pb 0.4942 0.4942 0.7157
Pb 0.5058 0.5058 0.2843
Pb 0.7490 0.7490 0.6974
! Crystal system   monoclinic
! ΔE_f   -0.484 eV per atom
! Mass density   8.98 g/cm3

---

Entry 12:
! Pa2GeN (PBE, relaxed); values from VASP
&SYSTEM
  ibrav = 0, nat = 8, ntyp = 3
/
ATOMIC_SPECIES
Pa 231.04 Pa.upf
Ge 72.64 Ge.upf
N 14.01 N.upf
CELL_PARAMETERS angstrom
4.3752 0.0000 0.0000
0.0000 4.3752 0.0000
0.0000 0.0000 8.5933
ATOMIC_POSITIONS crystal
Pa 0.2500 0.2500 0.1393
Pa 0.2500 0.7500 0.5000
Pa 0.7500 0.2500 0.5000
Pa 0.7500 0.7500 0.8607
Ge 0.2500 0.2500 0.7859
Ge 0.7500 0.7500 0.2141
N 0.2500 0.2500 0.3904
N 0.7500 0.7500 0.6096
! Distance to the lowest polymorph of the same formula   0.0688 eV/atom
! Crystal system   tetragonal
! Mass density   11.08 g/cm3

---

Entry 13:
! BaLi2NpBr8 (PBE, relaxed); values from VASP
&SYSTEM
  ibrav = 0, nat = 12, ntyp = 4
/
ATOMIC_SPECIES
Ba 137.33 Ba.upf
Li 6.94 Li.upf
Np 237.00 Np.upf
Br 79.90 Br.upf
CELL_PARAMETERS angstrom
6.7757 0.0000 0.0000
-3.3879 5.8679 0.0000
0.0000 0.0000 9.7363
ATOMIC_POSITIONS crystal
Ba 0.0000 0.0000 0.0000
Li 0.3333 0.6667 0.7504
Li 0.6667 0.3333 0.2496
Np 0.0000 0.0000 0.5000
Br 0.0246 0.6952 0.3210
Br 0.3048 0.3295 0.3210
Br 0.3295 0.0246 0.6790
Br 0.3333 0.6667 0.9969
Br 0.6667 0.3333 0.0031
Br 0.6705 0.9754 0.3210
Br 0.6952 0.6705 0.6790
Br 0.9754 0.3048 0.6790
! Crystal system   trigonal
! Total DFT energy (no corrections)   -49.84 eV per formula unit
! Mass density   4.41 g/cm3